MnSiAs2 | PBE | relaxed

Results
**Fermi-level density of states**: 1.4 states/eV/cell
**Uncorrected formation energy**: 0.068 eV/atom
**Space-group type**: R3m (160)

Unit cell a=9.4033 b=9.4033 c=9.4033 alpha=17.74 beta=17.74 gamma=17.74
Each line ends with the local moment (μB).
Fractional positions:
1 As 0.0216 0.0216 0.0216  -0.01
2 As 0.2225 0.2225 0.2225  -0.04
3 Mn 0.4924 0.4924 0.4924  0.65
4 Si 0.7635 0.7635 0.7635  -0.01

TbSmTlRh | PBE | relaxed

Results
**Energy of formation**: -452 meV per atom
**Fermi-level density of states**: 2.8 states/eV/cell
**Space-group type**: F-43m (216)
**Energy above the lowest structure with this stoichiometry**: 122 meV per atom

Unit cell a=5.1793 b=5.1793 c=5.1793 alpha=60.00 beta=60.00 gamma=60.00
Fractional positions:
1 Rh 0.5000 0.5000 0.5000
2 Tl 0.0000 0.0000 0.0000
3 Tb 0.2500 0.2500 0.2500
4 Sm 0.7500 0.7500 0.7500

Pa2CoPt | PBE | relaxed

Results
**Energy of formation**: 61 meV per atom
**Fermi-level density of states**: 6.0 states/eV/cell
**Space-group type**: R-3m (166)
**Energy above the lowest structure with this stoichiometry**: 668 meV per atom

Unit cell a=3.2208 b=3.2208 c=9.4009 alpha=80.14 beta=80.14 gamma=60.00
Fractional positions:
1 Pa 0.0978 0.0978 0.7065
2 Pa 0.9022 0.9022 0.2935
3 Co 0.5000 0.5000 0.5000
4 Pt 0.0000 0.0000 0.0000

YSiP2 | PBE | relaxed

Results
**Fermi-level density of states**: 1.2 states/eV/cell
**Uncorrected formation energy**: -0.671 eV/atom
**Space-group type**: Cm (8)

Unit cell a=5.7205 b=5.7205 c=3.9638 alpha=92.21 beta=92.21 gamma=37.27
Fractional positions:
1 P 0.9936 0.9936 0.0799
2 P 0.7132 0.7132 0.6075
3 Si 0.5128 0.5128 0.6975
4 Y 0.2805 0.2805 0.1152

CoRuSe2 | PBE | relaxed

Results
**Fermi-level density of states**: 4.2 states/eV/cell
**Uncorrected formation energy**: 0.248 eV/atom
**Space-group type**: P4/mmm (123)
**Energy above the lowest structure with this stoichiometry**: 512 meV per atom

Unit cell a=3.0883 b=3.0883 c=6.2242 alpha=90.00 beta=90.00 gamma=90.00
Each line ends with the local moment (μB).
Fractional positions:
1 Co 0.5000 0.5000 0.2500  1.21
2 Ru 0.5000 0.5000 0.7500  0.20
3 Se 0.0000 0.0000 0.0054  0.01
4 Se 0.0000 0.0000 0.4946  0.01

Ba3HgPd | PBE | relaxed

Results
**Energy of formation**: -408 meV per atom
**Fermi-level density of states**: 15.4 states/eV/cell
**Space-group type**: C2/c (15)
**Energy above the lowest structure with this stoichiometry**: 0 meV per atom

Unit cell a=8.6052 b=8.7346 c=14.3853 alpha=107.36 beta=90.00 gamma=119.51
Fractional positions:
1 Ba 0.2077 0.2919 0.8113
2 Ba 0.9159 0.7081 0.6887
3 Ba 0.7923 0.7081 0.1887
4 Ba 0.0841 0.2919 0.3113
5 Ba 0.3883 0.6567 0.6291
6 Ba 0.7316 0.3433 0.8709
7 Ba 0.6117 0.3433 0.3709
8 Ba 0.2684 0.6567 0.1291
9 Ba 0.6822 0.8708 0.9393
10 Ba 0.8114 0.1292 0.5607
11 Ba 0.1886 0.8708 0.4393
12 Ba 0.3178 0.1292 0.0607
13 Hg 0.2025 0.7071 0.8676
14 Hg 0.4954 0.2929 0.6324
15 Hg 0.7975 0.2929 0.1324
16 Hg 0.5046 0.7071 0.3676
17 Pd 0.0000 0.5000 0.5000
18 Pd 0.5000 0.5000 0.0000
19 Pd 0.2186 0.0000 0.2500
20 Pd 0.7814 0.0000 0.7500

CdRe2As | PBE | relaxed

Results
**Energy of formation**: 839 meV per atom
**Fermi-level density of states**: 3.3 states/eV/cell
**Space-group type**: Pmmm (47)
**Energy above the lowest structure with this stoichiometry**: 642 meV per atom

Unit cell a=3.1091 b=4.5864 c=4.7168 alpha=90.00 beta=90.00 gamma=90.00
Fractional positions:
1 Re 0.0000 0.0000 0.0000
2 Re 0.5000 0.5000 0.0000
3 As 0.5000 0.0000 0.5000
4 Cd 0.0000 0.5000 0.5000

NbTlV2 | PBE | relaxed

Results
**Energy of formation**: 868 meV per atom
**Fermi-level density of states**: 10.5 states/eV/cell
**Space-group type**: I-42d (122)
**Energy above the lowest structure with this stoichiometry**: 531 meV per atom

Unit cell a=7.2546 b=7.2546 c=5.8470 alpha=51.66 beta=51.66 gamma=90.00
Fractional positions:
1 Tl 0.0000 0.0000 0.0000
2 Tl 0.7500 0.2500 0.5000
3 Nb 0.5000 0.5000 0.0000
4 Nb 0.2500 0.7500 0.5000
5 V 0.6000 0.1250 0.2500
6 V 0.1500 0.6250 0.2500
7 V 0.3750 0.4000 0.7500
8 V 0.8750 0.8500 0.7500

Ti2MnTlH | PBE | relaxed

Results
**Fermi-level density of states**: 4.9 states/eV/cell
**Space-group type**: P4/mmm (123)
**Raw total energy**: -6.182 eV per atom

Unit cell a=4.2693 b=4.2693 c=3.7949 alpha=90.00 beta=90.00 gamma=90.00
Each line ends with the local moment (μB).
Fractional positions:
1 H 0.0000 0.0000 0.0000  0.00
2 Tl 0.5000 0.5000 0.5000  -0.02
3 Mn 0.0000 0.0000 0.5000  2.34
4 Ti 0.0000 0.5000 0.0000  -0.58
5 Ti 0.5000 0.0000 0.0000  -0.58

Sr2Ca2Pd15 | PBE | relaxed

Results
**Energy of formation**: -428 meV per atom
**Fermi-level density of states**: 17.9 states/eV/cell
**Space-group type**: R-3m (166)

Unit cell a=7.1353 b=7.1353 c=7.1353 alpha=82.36 beta=82.36 gamma=82.36
Fractional positions:
1 Sr 0.3564 0.3564 0.3564
2 Sr 0.6436 0.6436 0.6436
3 Ca 0.1061 0.1061 0.1061
4 Ca 0.8939 0.8939 0.8939
5 Pd 0.5000 0.0000 0.0000
6 Pd 0.0000 0.0000 0.5000
7 Pd 0.0000 0.5000 0.0000
8 Pd 0.0000 0.6960 0.3040
9 Pd 0.6960 0.3040 0.0000
10 Pd 0.3040 0.0000 0.6960
11 Pd 0.3040 0.6960 0.0000
12 Pd 0.6960 0.0000 0.3040
13 Pd 0.0000 0.3040 0.6960
14 Pd 0.1596 0.6530 0.6530
15 Pd 0.6530 0.6530 0.1596
16 Pd 0.6530 0.1596 0.6530
17 Pd 0.8404 0.3470 0.3470
18 Pd 0.3470 0.3470 0.8404
19 Pd 0.3470 0.8404 0.3470

LaCr2Fe | PBE | relaxed

Results
**Energy of formation**: 746 meV per atom
**Fermi-level density of states**: 5.5 states/eV/cell
**Space-group type**: Immm (71)
**Energy above the lowest structure with this stoichiometry**: 384 meV per atom

Unit cell a=5.5374 b=5.5374 c=5.5374 alpha=146.49 beta=124.49 gamma=66.42
Each line ends with the local moment (μB).
Fractional positions:
1 Cr 0.0536 0.0536 0.0000  -2.99
2 Cr 0.4464 0.4464 0.0000  -2.99
3 Fe 0.2500 0.7500 0.5000  1.91
4 La 0.7500 0.2500 0.5000  -0.05

HoAgGe | PBE | relaxed

Results
**Energy of formation**: -410 meV per atom
**Fermi-level density of states**: 4.4 states/eV/cell
**Space-group type**: P-62m (189)

Unit cell a=7.3745 b=7.3745 c=4.0601 alpha=90.00 beta=90.00 gamma=120.00
Fractional positions:
1 Ho 0.0000 0.6063 0.0000
2 Ho 0.3937 0.3937 0.0000
3 Ho 0.6063 0.0000 0.0000
4 Ag 0.6667 0.3333 0.5000
5 Ag 0.0000 0.0000 0.0000
6 Ag 0.3333 0.6667 0.5000
7 Ge 0.7322 0.7322 0.5000
8 Ge 0.2678 0.0000 0.5000
9 Ge 0.0000 0.2678 0.5000

Volume list, top to bottom, in Å³/atom: 16.85 24.56 20.70 19.62 14.84 44.19 16.81 18.46 13.83 18.65 19.07 21.25